No. 1
The following is a PBE calculation of an optimized crystal structure of TmTlH, from Alexandria via LeMat-Bulk.

abc: 3.604 3.619 8.906
angles: 90.00 96.38 90.00
Positions (direct):
Tm (0.215, 0.250, 0.358)
Tm (0.785, 0.750, 0.642)
Tl (0.317, 0.250, 0.867)
Tl (0.683, 0.750, 0.133)
H (0.246, 0.750, 0.501)
H (0.754, 0.250, 0.499)

Results
- Density of states at the Fermi level: 0.38 states/eV/atom
- Density: 10.77 g/cm3
- Distance to the lowest polymorph of the same formula: 0.048 eV/atom
- Crystal system: monoclinic

---

No. 2
The following is a PBE calculation of an optimized crystal structure of Tm5Tl2H, from Alexandria via LeMat-Bulk.

abc: 6.845 6.845 8.871
angles: 90.00 90.00 90.00
Positions (direct):
Tm (0.000, 0.000, 0.000)
Tm (0.248, 0.248, 0.746)
Tm (0.248, 0.752, 0.746)
Tm (0.252, 0.252, 0.246)
Tm (0.252, 0.748, 0.246)
Tm (0.500, 0.500, 0.500)
Tm (0.748, 0.252, 0.246)
Tm (0.748, 0.748, 0.246)
Tm (0.752, 0.248, 0.746)
Tm (0.752, 0.752, 0.746)
Tl (0.000, 0.500, 0.497)
Tl (0.000, 0.500, 0.997)
Tl (0.500, 0.000, 0.497)
Tl (0.500, 0.000, 0.997)
H (0.000, 0.000, 0.246)
H (0.500, 0.500, 0.746)

Results
- Density of states at the Fermi level: 1.09 states/eV/atom
- Raw total energy: -3.9197 eV/atom
- Density: 10.02 g/cm3
- Crystal system: tetragonal

---

No. 3
The following is a PBE calculation of an optimized crystal structure of Tm6Tl3H, from Alexandria via LeMat-Bulk.

abc: 10.054 10.054 5.295
angles: 90.00 90.00 110.95
Positions (direct):
Tm (0.083, 0.917, 0.500)
Tm (0.095, 0.558, 0.504)
Tm (0.239, 0.761, 0.014)
Tm (0.247, 0.413, 0.999)
Tm (0.413, 0.247, 0.499)
Tm (0.442, 0.905, 0.504)
Tm (0.558, 0.095, 0.004)
Tm (0.587, 0.753, 0.999)
Tm (0.753, 0.587, 0.499)
Tm (0.761, 0.239, 0.514)
Tm (0.905, 0.442, 0.004)
Tm (0.917, 0.083, 0.000)
Tl (0.079, 0.242, 0.497)
Tl (0.242, 0.079, 0.997)
Tl (0.417, 0.583, 0.498)
Tl (0.583, 0.417, 0.998)
Tl (0.758, 0.921, 0.497)
Tl (0.921, 0.758, 0.997)
H (0.213, 0.787, 0.429)
H (0.787, 0.213, 0.929)

Results
- Density of states at the Fermi level: 0.72 states/eV/atom
- Raw total energy: -4.0121 eV/atom
- Density: 10.82 g/cm3
- Crystal system: orthorhombic

---

No. 4
The following is a PBE calculation of an optimized crystal structure of Tm2TlH2, from Alexandria via LeMat-Bulk.

abc: 3.676 3.676 12.389
angles: 90.00 90.00 90.00
Positions (direct):
Tm (0.000, 0.000, 0.152)
Tm (0.000, 0.000, 0.848)
Tm (0.500, 0.500, 0.348)
Tm (0.500, 0.500, 0.652)
Tl (0.000, 0.000, 0.500)
Tl (0.500, 0.500, 0.000)
H (0.000, 0.500, 0.250)
H (0.000, 0.500, 0.750)
H (0.500, 0.000, 0.250)
H (0.500, 0.000, 0.750)

Results
- Density of states at the Fermi level: 0.49 states/eV/atom
- Raw total energy: -4.1747 eV/atom
- Density: 10.80 g/cm3
- Crystal system: tetragonal

---

No. 5
The following is a PBE calculation of an optimized crystal structure of Tm6Tl2H, from Alexandria via LeMat-Bulk.

abc: 6.354 7.977 11.276
angles: 90.00 123.86 90.00
Positions (direct):
Tm (0.091, 0.188, 0.448)
Tm (0.091, 0.312, 0.948)
Tm (0.307, 0.682, 0.448)
Tm (0.307, 0.818, 0.948)
Tm (0.368, 0.025, 0.252)
Tm (0.368, 0.475, 0.752)
Tm (0.632, 0.525, 0.248)
Tm (0.632, 0.975, 0.748)
Tm (0.693, 0.182, 0.052)
Tm (0.693, 0.318, 0.552)
Tm (0.909, 0.688, 0.052)
Tm (0.909, 0.812, 0.552)
Tl (0.176, 0.117, 0.747)
Tl (0.176, 0.383, 0.247)
Tl (0.824, 0.617, 0.753)
Tl (0.824, 0.883, 0.253)
H (0.000, 0.000, 0.000)
H (0.000, 0.500, 0.500)

Results
- Density of states at the Fermi level: 1.25 states/eV/atom
- Raw total energy: -4.0156 eV/atom
- Density: 9.96 g/cm3
- Crystal system: monoclinic

---

No. 6
The following is a PBE calculation of an optimized crystal structure of TmTlH, from Alexandria via LeMat-Bulk.

abc: 6.374 6.166 6.560
angles: 90.00 117.67 90.00
Positions (direct):
Tm (0.153, 0.149, 0.379)
Tm (0.153, 0.351, 0.879)
Tm (0.847, 0.649, 0.121)
Tm (0.847, 0.851, 0.621)
Tl (0.361, 0.665, 0.626)
Tl (0.361, 0.835, 0.126)
Tl (0.639, 0.165, 0.874)
Tl (0.639, 0.335, 0.374)
H (0.100, 0.086, 0.667)
H (0.100, 0.414, 0.167)
H (0.900, 0.586, 0.833)
H (0.900, 0.914, 0.333)

Results
- Density of states at the Fermi level: 0.49 states/eV/atom
- Density: 10.89 g/cm3
- Distance to the lowest polymorph of the same formula: 0.040 eV/atom
- Crystal system: monoclinic